# 1
## MgMnN2O (GGA+U)

Data for crystalline MgMnN2O at its relaxed geometry.

Results
Total energy: -5.978 eV/atom

Structure (CIF):
```
data_MgMnN2O
_cell_length_a 3.740
_cell_length_b 3.740
_cell_length_c 3.938
_cell_angle_alpha 90.00
_cell_angle_beta 90.00
_cell_angle_gamma 90.00
_space_group_name_H-M_alt 'P 4/m m m'
_space_group_IT_number 123
_space_group_name_Hall '-P 4 2'
loop_
_atom_site_label
_atom_site_fract_x
_atom_site_fract_y
_atom_site_fract_z
Mg1 0.000 0.000 0.000
Mn1 0.500 0.500 0.500
N1 0.000 0.500 0.500
O1 0.500 0.500 0.000
```

***

# 2
## HfFe2SbO6 (GGA+U)

Data for crystalline HfFe2SbO6 at its relaxed geometry.

Results
Total energy: -7.442 eV/atom

Structure (CIF):
```
data_HfFe2SbO6
_cell_length_a 5.425
_cell_length_b 5.425
_cell_length_c 5.725
_cell_angle_alpha 62.37
_cell_angle_beta 62.39
_cell_angle_gamma 60.14
_space_group_name_H-M_alt 'P 1'
_space_group_IT_number 1
loop_
_space_group_symop_operation_xyz
'x,y,z'
loop_
_atom_site_label
_atom_site_fract_x
_atom_site_fract_y
_atom_site_fract_z
Hf1 0.000 0.000 0.000
Fe1 0.286 0.299 0.128
Fe2 0.793 0.794 0.627
Sb1 0.497 0.505 0.499
O1 0.105 0.378 0.812
O2 0.202 0.894 0.297
O3 0.379 0.717 0.799
O4 0.599 0.213 0.287
O5 0.724 0.097 0.792
O6 0.884 0.615 0.309
```